1.
# CaNbZn3 (GGA-PBE, relaxed)
# calculated formation energy: 0.4725 eV/atom
# M_tot: 0.0 Bohr magnetons per cell
# polymorph energy (0 for the lowest one): 0.00 kcal/mol of atoms
data_CaNbZn3
_space_group_name_H-M_alt 'P m -3 m'
_space_group_IT_number 221
_space_group_name_Hall '-P 4 2 3'
_cell_length_a 5.0208
_cell_length_b 5.0208
_cell_length_c 5.0208
_cell_angle_alpha 90.00
_cell_angle_beta 90.00
_cell_angle_gamma 90.00
loop_
_atom_site_label
_atom_site_type_symbol
_atom_site_fract_x
_atom_site_fract_y
_atom_site_fract_z
Ca1 Ca 0.0000 0.0000 0.0000
Nb1 Nb 0.5000 0.5000 0.5000
Zn1 Zn 0.0000 0.5000 0.5000

=====

2.
# Cs2UI5Cl (GGA-PBE, relaxed)
# formation energy (no corrections): -1.322 eV/atom
# M_tot: 4.0 Bohr magnetons per cell
data_Cs2UI5Cl
_space_group_name_H-M_alt 'I 4 m m'
_space_group_IT_number 107
_space_group_name_Hall 'I 4 -2'
_cell_length_a 8.6719
_cell_length_b 8.6719
_cell_length_c 11.7557
_cell_angle_alpha 90.00
_cell_angle_beta 90.00
_cell_angle_gamma 90.00
loop_
_atom_site_label
_atom_site_type_symbol
_atom_site_fract_x
_atom_site_fract_y
_atom_site_fract_z
Cs1 Cs 0.0000 0.5000 0.0000
U1 U 0.0000 0.0000 0.2541
I1 I 0.0000 0.0000 0.9985
I2 I 0.2473 0.2473 0.2497
Cl1 Cl 0.0000 0.0000 0.4726

=====

3.
# LiLaBRu2 (GGA-PBE, relaxed)
# calculated formation energy: -0.2032 eV/atom
# M_tot: 0.0 Bohr magnetons per cell
# polymorph energy (0 for the lowest one): 0.00 kcal/mol of atoms
data_LiLaBRu2
_space_group_name_H-M_alt 'P 4/m m m'
_space_group_IT_number 123
_space_group_name_Hall '-P 4 2'
_cell_length_a 4.2632
_cell_length_b 4.2632
_cell_length_c 4.2884
_cell_angle_alpha 90.00
_cell_angle_beta 90.00
_cell_angle_gamma 90.00
loop_
_atom_site_label
_atom_site_type_symbol
_atom_site_fract_x
_atom_site_fract_y
_atom_site_fract_z
Li1 Li 0.0000 0.0000 0.0000
La1 La 0.5000 0.5000 0.0000
B1 B 0.0000 0.0000 0.5000
Ru1 Ru 0.0000 0.5000 0.5000

=====

4.
# Sr2BiPbN (GGA-PBE, relaxed)
# formation energy (no corrections): -0.516 eV/atom
# M_tot: 0.0 Bohr magnetons per cell
data_Sr2BiPbN
_space_group_name_H-M_alt 'P 4/m m m'
_space_group_IT_number 123
_space_group_name_Hall '-P 4 2'
_cell_length_a 5.2850
_cell_length_b 5.2850
_cell_length_c 4.9990
_cell_angle_alpha 90.00
_cell_angle_beta 90.00
_cell_angle_gamma 90.00
loop_
_atom_site_label
_atom_site_type_symbol
_atom_site_fract_x
_atom_site_fract_y
_atom_site_fract_z
Sr1 Sr 0.0000 0.5000 0.0000
Bi1 Bi 0.0000 0.0000 0.5000
Pb1 Pb 0.5000 0.5000 0.5000
N1 N 0.5000 0.5000 0.0000

=====

5.
# TeP (GGA-PBE, relaxed)
# formation energy (no corrections): 0.489 eV/atom
# M_tot: 0.0 Bohr magnetons per cell
data_TeP
_space_group_name_H-M_alt 'P 63/m'
_space_group_IT_number 176
_space_group_name_Hall '-P 6c'
_cell_length_a 8.9160
_cell_length_b 8.9160
_cell_length_c 6.8281
_cell_angle_alpha 90.00
_cell_angle_beta 90.00
_cell_angle_gamma 120.00
loop_
_atom_site_label
_atom_site_type_symbol
_atom_site_fract_x
_atom_site_fract_y
_atom_site_fract_z
Te1 Te 0.0650 0.6713 0.2500
P1 P 0.0516 0.3910 0.2500

=====

6.
# Cu2SnSe3 (GGA-PBE, relaxed)
# formation energy (no corrections): -0.285 eV/atom
# M_tot: 0.0 Bohr magnetons per cell
data_Cu2SnSe3
_space_group_name_H-M_alt 'F d d 2'
_space_group_IT_number 43
_space_group_name_Hall 'F 2 -2d'
_cell_length_a 8.1467
_cell_length_b 24.4504
_cell_length_c 11.5971
_cell_angle_alpha 90.00
_cell_angle_beta 90.00
_cell_angle_gamma 90.00
loop_
_atom_site_label
_atom_site_type_symbol
_atom_site_fract_x
_atom_site_fract_y
_atom_site_fract_z
Cu1 Cu 0.0000 0.0000 0.0000
Cu2 Cu 0.0000 0.0000 0.4923
Cu3 Cu 0.0110 0.3332 0.5032
Sn1 Sn 0.0140 0.1703 0.5001
Se1 Se 0.0028 0.2443 0.1332
Se2 Se 0.0160 0.4219 0.1266
Se3 Se 0.0171 0.0832 0.1136

=====

7.
# LaPrDyTh (GGA-PBE, relaxed)
# calculated formation energy: 0.0268 eV/atom
# M_tot: 0.0 Bohr magnetons per cell
# polymorph energy (0 for the lowest one): 0.00 kcal/mol of atoms
data_LaPrDyTh
_space_group_name_H-M_alt 'P 4 m m'
_space_group_IT_number 99
_space_group_name_Hall 'P 4 -2'
_cell_length_a 3.6214
_cell_length_b 3.6214
_cell_length_c 10.4180
_cell_angle_alpha 90.00
_cell_angle_beta 90.00
_cell_angle_gamma 90.00
loop_
_atom_site_label
_atom_site_type_symbol
_atom_site_fract_x
_atom_site_fract_y
_atom_site_fract_z
La1 La 0.0000 0.0000 0.0000
Pr1 Pr 0.5000 0.5000 0.2754
Dy1 Dy 0.0000 0.0000 0.5290
Th1 Th 0.5000 0.5000 0.7608

=====

8.
# TcSbCl2 (GGA-PBE, relaxed)
# formation energy (no corrections): 0.135 eV/atom
# M_tot: 3.5 Bohr magnetons per cell
# polymorph energy (0 for the lowest one): 8.27 kcal/mol of atoms
data_TcSbCl2
_space_group_name_H-M_alt 'I m m 2'
_space_group_IT_number 44
_space_group_name_Hall 'I 2 -2'
_cell_length_a 3.1211
_cell_length_b 4.8998
_cell_length_c 12.6104
_cell_angle_alpha 90.00
_cell_angle_beta 90.00
_cell_angle_gamma 90.00
loop_
_atom_site_label
_atom_site_type_symbol
_atom_site_fract_x
_atom_site_fract_y
_atom_site_fract_z
Tc1 Tc 0.0000 0.0000 0.0000
Sb1 Sb 0.0000 0.5000 0.3263
Cl1 Cl 0.0000 0.0000 0.4832
Cl2 Cl 0.0000 0.5000 0.6558

=====

9.
# Pr3Nd2Sm4 (GGA-PBE, relaxed)
# calculated formation energy: 0.0907 eV/atom
# M_tot: 0.0 Bohr magnetons per cell
# polymorph energy (0 for the lowest one): 0.65 kcal/mol of atoms
data_Pr3Nd2Sm4
_space_group_name_H-M_alt 'C 1 2/m 1'
_space_group_IT_number 12
_space_group_name_Hall '-C 2y'
_cell_length_a 11.6942
_cell_length_b 5.9066
_cell_length_c 9.3421
_cell_angle_alpha 90.00
_cell_angle_beta 102.17
_cell_angle_gamma 90.00
loop_
_atom_site_label
_atom_site_type_symbol
_atom_site_fract_x
_atom_site_fract_y
_atom_site_fract_z
Pr1 Pr 0.0000 0.0000 0.0000
Pr2 Pr 0.1177 0.0000 0.6871
Nd1 Nd 0.0647 0.5000 0.3019
Sm1 Sm 0.1783 0.5000 0.9606
Sm2 Sm 0.2279 0.0000 0.3678

=====

10.
# LiPmCd (GGA-PBE, relaxed)
# calculated formation energy: -0.1357 eV/atom
# M_tot: 0.0 Bohr magnetons per cell
# polymorph energy (0 for the lowest one): 1.30 kcal/mol of atoms
data_LiPmCd
_space_group_name_H-M_alt 'I 4 m m'
_space_group_IT_number 107
_space_group_name_Hall 'I 4 -2'
_cell_length_a 3.8175
_cell_length_b 3.8175
_cell_length_c 10.2343
_cell_angle_alpha 90.00
_cell_angle_beta 90.00
_cell_angle_gamma 90.00
loop_
_atom_site_label
_atom_site_type_symbol
_atom_site_fract_x
_atom_site_fract_y
_atom_site_fract_z
Li1 Li 0.0000 0.0000 0.0000
Pm1 Pm 0.0000 0.0000 0.3104
Cd1 Cd 0.0000 0.0000 0.6297

=====

11.
# RbCuNF2 (GGA-PBE, relaxed)
# formation energy (no corrections): -0.851 eV/atom
# M_tot: 2.2 Bohr magnetons per cell
# polymorph energy (0 for the lowest one): 0.00 kcal/mol of atoms
data_RbCuNF2
_space_group_name_H-M_alt 'P 4/m m m'
_space_group_IT_number 123
_space_group_name_Hall '-P 4 2'
_cell_length_a 4.4430
_cell_length_b 4.4430
_cell_length_c 3.7479
_cell_angle_alpha 90.00
_cell_angle_beta 90.00
_cell_angle_gamma 90.00
loop_
_atom_site_label
_atom_site_type_symbol
_atom_site_fract_x
_atom_site_fract_y
_atom_site_fract_z
Rb1 Rb 0.0000 0.0000 0.0000
Cu1 Cu 0.5000 0.5000 0.5000
N1 N 0.5000 0.5000 0.0000
F1 F 0.0000 0.5000 0.5000

=====

12.
# Hf2HgH (GGA-PBE, relaxed)
# M_tot: 0.0 Bohr magnetons per cell
# polymorph energy (0 for the lowest one): 0.00 kcal/mol of atoms
data_Hf2HgH
_space_group_name_H-M_alt 'C m c 21'
_space_group_IT_number 36
_space_group_name_Hall 'C 2c -2'
_cell_length_a 3.3310
_cell_length_b 15.2625
_cell_length_c 5.2749
_cell_angle_alpha 90.00
_cell_angle_beta 90.00
_cell_angle_gamma 90.00
loop_
_atom_site_label
_atom_site_type_symbol
_atom_site_fract_x
_atom_site_fract_y
_atom_site_fract_z
Hf1 Hf 0.0000 0.0765 0.0000
Hf2 Hf 0.0000 0.2549 0.5071
Hg1 Hg 0.0000 0.4089 0.0087
H1 H 0.0000 0.1965 0.1608

=====

13.
# Na3Zn4P3O19 (GGA-PBE, relaxed)
# formation energy (no corrections): -1.557 eV/atom
# M_tot: 36.5 Bohr magnetons per cell
data_Na3Zn4P3O19
_space_group_name_H-M_alt 'R 3 c'
_space_group_IT_number 161
_space_group_name_Hall 'R 3 -2"c'
_cell_length_a 10.6527
_cell_length_b 10.6527
_cell_length_c 25.9553
_cell_angle_alpha 90.00
_cell_angle_beta 90.00
_cell_angle_gamma 120.00
loop_
_atom_site_label
_atom_site_type_symbol
_atom_site_fract_x
_atom_site_fract_y
_atom_site_fract_z
Na1 Na 0.1509 0.3601 0.0000
Zn1 Zn 0.0000 0.0000 0.2390
Zn2 Zn 0.0938 0.2016 0.6394
P1 P 0.0064 0.4828 0.4171
O1 O 0.0000 0.0000 0.1633
O2 O 0.0085 0.1786 0.7657
O3 O 0.0102 0.4586 0.8640
O4 O 0.0156 0.2398 0.0806
O5 O 0.0433 0.1793 0.9293
O6 O 0.0668 0.1993 0.8825
O7 O 0.1017 0.3632 0.2924

=====

14.
# CaSbBr6 (GGA-PBE, relaxed)
# formation energy (no corrections): -0.976 eV/atom
# M_tot: 0.0 Bohr magnetons per cell
# polymorph energy (0 for the lowest one): 0.00 kcal/mol of atoms
data_CaSbBr6
_space_group_name_H-M_alt 'C 1 2/m 1'
_space_group_IT_number 12
_space_group_name_Hall '-C 2y'
_cell_length_a 7.0104
_cell_length_b 13.2112
_cell_length_c 6.9872
_cell_angle_alpha 90.00
_cell_angle_beta 107.94
_cell_angle_gamma 90.00
loop_
_atom_site_label
_atom_site_type_symbol
_atom_site_fract_x
_atom_site_fract_y
_atom_site_fract_z
Ca1 Ca 0.0000 0.0000 0.0000
Sb1 Sb 0.0000 0.5000 0.5000
Br1 Br 0.2332 0.3544 0.7372
Br2 Br 0.2417 0.5000 0.2640

=====

15.
# Ce3MgHg2 (GGA-PBE, relaxed)
# calculated formation energy: -0.1168 eV/atom
# M_tot: 6.2 Bohr magnetons per cell
data_Ce3MgHg2
_space_group_name_H-M_alt 'C 1 2/c 1'
_space_group_IT_number 15
_space_group_name_Hall '-C 2yc'
_cell_length_a 9.7200
_cell_length_b 10.8186
_cell_length_c 6.2510
_cell_angle_alpha 90.00
_cell_angle_beta 104.18
_cell_angle_gamma 90.00
loop_
_atom_site_label
_atom_site_type_symbol
_atom_site_fract_x
_atom_site_fract_y
_atom_site_fract_z
Ce1 Ce 0.0000 0.2071 0.2500
Ce2 Ce 0.1704 0.0126 0.4281
Mg1 Mg 0.0000 0.4807 0.7500
Hg1 Hg 0.1663 0.2634 0.7549

=====

16.
# CsSnNF2 (GGA-PBE, relaxed)
# formation energy (no corrections): 0.098 eV/atom
# M_tot: 0.3 Bohr magnetons per cell
# polymorph energy (0 for the lowest one): 32.15 kcal/mol of atoms
data_CsSnNF2
_space_group_name_H-M_alt 'P 4/m m m'
_space_group_IT_number 123
_space_group_name_Hall '-P 4 2'
_cell_length_a 5.0767
_cell_length_b 5.0767
_cell_length_c 4.5143
_cell_angle_alpha 90.00
_cell_angle_beta 90.00
_cell_angle_gamma 90.00
loop_
_atom_site_label
_atom_site_type_symbol
_atom_site_fract_x
_atom_site_fract_y
_atom_site_fract_z
Cs1 Cs 0.0000 0.0000 0.0000
Sn1 Sn 0.5000 0.5000 0.5000
N1 N 0.0000 0.0000 0.5000
F1 F 0.0000 0.5000 0.0000

=====

17.
# Hf2AgSnF (GGA-PBE, relaxed)
# formation energy (no corrections): -0.466 eV/atom
# M_tot: 0.0 Bohr magnetons per cell
data_Hf2AgSnF
_space_group_name_H-M_alt 'P 4/m m m'
_space_group_IT_number 123
_space_group_name_Hall '-P 4 2'
_cell_length_a 4.4070
_cell_length_b 4.4070
_cell_length_c 4.8776
_cell_angle_alpha 90.00
_cell_angle_beta 90.00
_cell_angle_gamma 90.00
loop_
_atom_site_label
_atom_site_type_symbol
_atom_site_fract_x
_atom_site_fract_y
_atom_site_fract_z
Hf1 Hf 0.0000 0.5000 0.0000
Ag1 Ag 0.0000 0.0000 0.5000
Sn1 Sn 0.5000 0.5000 0.5000
F1 F 0.0000 0.0000 0.0000

=====

18.
# MnNiPd4 (GGA-PBE, relaxed)
# calculated formation energy: -0.0211 eV/atom
# M_tot: 23.6 Bohr magnetons per cell
# polymorph energy (0 for the lowest one): 0.63 kcal/mol of atoms
data_MnNiPd4
_space_group_name_H-M_alt 'C 1 2/c 1'
_space_group_IT_number 15
_space_group_name_Hall '-C 2yc'
_cell_length_a 7.1143
_cell_length_b 11.3000
_cell_length_c 4.8016
_cell_angle_alpha 90.00
_cell_angle_beta 109.91
_cell_angle_gamma 90.00
loop_
_atom_site_label
_atom_site_type_symbol
_atom_site_fract_x
_atom_site_fract_y
_atom_site_fract_z
Mn1 Mn 0.0000 0.0990 0.2500
Ni1 Ni 0.0000 0.4986 0.2500
Pd1 Pd 0.1033 0.3095 0.5527
Pd2 Pd 0.2054 0.1046 0.8629

=====

19.
# LiPm2Cu4Ge3 (GGA-PBE, relaxed)
# calculated formation energy: -0.4777 eV/atom
# M_tot: 0.0 Bohr magnetons per cell
data_LiPm2Cu4Ge3
_space_group_name_H-M_alt 'P -4 m 2'
_space_group_IT_number 115
_space_group_name_Hall 'P -4 -2'
_cell_length_a 4.2171
_cell_length_b 4.2171
_cell_length_c 9.8253
_cell_angle_alpha 90.00
_cell_angle_beta 90.00
_cell_angle_gamma 90.00
loop_
_atom_site_label
_atom_site_type_symbol
_atom_site_fract_x
_atom_site_fract_y
_atom_site_fract_z
Li1 Li 0.0000 0.0000 0.0000
Pm1 Pm 0.0000 0.5000 0.7415
Cu1 Cu 0.0000 0.0000 0.5000
Cu2 Cu 0.0000 0.5000 0.1229
Cu3 Cu 0.5000 0.5000 0.5000
Ge1 Ge 0.0000 0.5000 0.3646
Ge2 Ge 0.5000 0.5000 0.0000

=====

20.
# CrRe2Te (GGA-PBE, relaxed)
# formation energy (no corrections): 0.849 eV/atom
# M_tot: 10.6 Bohr magnetons per cell
data_CrRe2Te
_space_group_name_H-M_alt 'I -4 2 d'
_space_group_IT_number 122
_space_group_name_Hall 'I -4 2bw'
_cell_length_a 3.8419
_cell_length_b 3.8419
_cell_length_c 19.7889
_cell_angle_alpha 90.00
_cell_angle_beta 90.00
_cell_angle_gamma 90.00
loop_
_atom_site_label
_atom_site_type_symbol
_atom_site_fract_x
_atom_site_fract_y
_atom_site_fract_z
Cr1 Cr 0.0000 0.0000 0.0000
Re1 Re 0.1948 0.2500 0.1250
Te1 Te 0.0000 0.0000 0.5000